Below is a geometry-optimized Sm2SnHg2 structure, with properties calculated at the PBE-GGA level.

Cell lengths 4.633, 6.224, 10.526 Å; angles 90.38, 77.29, 68.15 degrees
Fractional positions:
1 Hg 0.657 0.795 0.891
2 Hg 0.343 0.205 0.109
3 Hg 0.906 0.735 0.453
4 Hg 0.094 0.265 0.547
5 Sn 0.598 0.117 0.686
6 Sn 0.402 0.883 0.314
7 Sm 0.323 0.684 0.671
8 Sm 0.083 0.738 0.097
9 Sm 0.917 0.262 0.903
10 Sm 0.677 0.316 0.329

**Relative energy among the computed polymorphs**: 0 meV per atom
**Total moment**: 0.000 μB/atom
**Raw total energy**: -3.30 eV/atom
**Calculated density**: 10.0 g cm⁻³


Below is a geometry-optimized Li2ScNiOs structure, with properties calculated at the PBE-GGA level.

Cell lengths 4.132, 4.776, 4.132 Å; angles 90.00, 90.00, 90.00 degrees
Fractional positions:
1 Li 0.000 0.000 0.500
2 Li 0.500 0.000 0.000
3 Sc 0.000 0.500 0.000
4 Ni 0.000 0.000 0.000
5 Os 0.500 0.500 0.500

**Total moment**: 0.195 μB/atom
**Raw total energy**: -4.70 eV/atom
**Calculated density**: 6.3 g cm⁻³


no.,Fermi-level density of states (states/eV/cell)
1,7.2
2,4.4